## TaCoO4 (PBE with a Hubbard U)

Data for crystalline TaCoO4 at its relaxed geometry.

Summary:
Uncorrected energy in eV/atom: -8.119
Symmetry: No. 60
Crystal system: orthorhombic

a = 4.7280 Å, b = 5.6329 Å, c = 9.9187 Å
α = 90.00°, β = 90.00°, γ = 90.00°
With the nearest neighbours (Å) after each atom.
Atoms (fractional coordinates):
Ta  0.0000  0.1811  0.2500  6 O 1.92-2.15
Ta  0.0000  0.8189  0.7500  6 O 1.92-2.15
Ta  0.5000  0.3189  0.7500  6 O 1.92-2.15
Ta  0.5000  0.6811  0.2500  6 O 1.92-2.15
Co  0.0000  0.5000  0.0000  4 O 1.88-1.96
Co  0.0000  0.5000  0.5000  4 O 1.88-1.96
Co  0.5000  0.0000  0.0000  4 O 1.88-1.96
Co  0.5000  0.0000  0.5000  4 O 1.88-1.96
O  0.2122  0.2614  0.0855  1 Co 1.88, 1 Ta 1.97
O  0.2122  0.7386  0.5855  1 Co 1.88, 1 Ta 1.97
O  0.2236  0.4790  0.3339  2 Ta 1.92-2.15, 1 Co 1.96
O  0.2236  0.5210  0.8339  2 Ta 1.92-2.15, 1 Co 1.96
O  0.2764  0.0210  0.8339  2 Ta 1.92-2.15, 1 Co 1.96
O  0.2764  0.9790  0.3339  2 Ta 1.92-2.15, 1 Co 1.96
O  0.2878  0.2386  0.5855  1 Co 1.88, 1 Ta 1.97
O  0.2878  0.7614  0.0855  1 Co 1.88, 1 Ta 1.97
O  0.7122  0.2386  0.9145  1 Co 1.88, 1 Ta 1.97
O  0.7122  0.7614  0.4145  1 Co 1.88, 1 Ta 1.97
O  0.7236  0.0210  0.6661  2 Ta 1.92-2.15, 1 Co 1.96
O  0.7236  0.9790  0.1661  2 Ta 1.92-2.15, 1 Co 1.96
O  0.7764  0.4790  0.1661  2 Ta 1.92-2.15, 1 Co 1.96
O  0.7764  0.5210  0.6661  2 Ta 1.92-2.15, 1 Co 1.96
O  0.7878  0.2614  0.4145  1 Co 1.88, 1 Ta 1.97
O  0.7878  0.7386  0.9145  1 Co 1.88, 1 Ta 1.97